Run w
{"formula": "SmBe3Ir", "functional": "PBE-GGA", "state": "relaxed", "vol_a3_per_atom": 15.84, "spacegroup": "No. 221", "total_magnetization_mub_per_cell": 0.0, "cell": [[4.295, 0.000, 0.000], [0.000, 4.295, 0.000], [0.000, 0.000, 4.295]], "species": ["Be", "Be", "Sm", "Ir", "Be"], "frac_coords": [[0.000, 0.000, 0.500], [0.500, 0.000, 0.000], [0.500, 0.500, 0.500], [0.000, 0.000, 0.000], [0.000, 0.500, 0.000]]}

=====

Run x
{"formula": "SmBe3Ir", "functional": "PBE-GGA", "state": "relaxed", "vol_a3_per_atom": 14.75, "spacegroup": "No. 11", "total_magnetization_mub_per_cell": 0.0, "cell": [[4.224, 0.000, 0.265], [0.000, 5.302, 0.000], [0.351, 0.000, 6.610]], "species": ["Be", "Be", "Be", "Ir", "Sm", "Be", "Be", "Sm", "Ir", "Be"], "frac_coords": [[0.151, 0.047, 0.111], [0.151, 0.453, 0.111], [0.849, 0.547, 0.889], [0.649, 0.250, 0.108], [0.617, 0.750, 0.328], [0.039, 0.750, 0.623], [0.961, 0.250, 0.377], [0.383, 0.250, 0.672], [0.351, 0.750, 0.892], [0.849, 0.953, 0.889]]}

=====

Relative energies with respect to the most stable structure, expressed in eV/atom: run w 0.020; run x 0.000.

=====

Run w
{"formula": "BeSn3Ir", "functional": "PBE-GGA", "state": "relaxed", "vol_a3_per_atom": 21.44, "spacegroup": "No. 221", "total_magnetization_mub_per_cell": 0.0, "cell": [[-2.801, -0.269, -3.827], [-1.598, -4.226, 1.467], [-3.488, 2.153, 2.401]], "species": ["Be", "Sn", "Ir", "Sn", "Sn"], "frac_coords": [[0.000, 0.000, 0.000], [0.000, 0.500, 0.000], [0.500, 0.500, 0.500], [0.000, 0.000, 0.500], [0.500, 0.000, 0.000]]}

=====

Run x
{"formula": "BeSn3Ir", "functional": "PBE-GGA", "state": "relaxed", "vol_a3_per_atom": 27.21, "spacegroup": "No. 221", "total_magnetization_mub_per_cell": 0.0, "cell": [[5.143, 0.000, 0.000], [0.000, 5.143, 0.000], [0.000, 0.000, 5.143]], "species": ["Sn", "Sn", "Sn", "Ir", "Be"], "frac_coords": [[0.000, 0.000, 0.500], [0.500, 0.000, 0.000], [0.000, 0.500, 0.000], [0.000, 0.000, 0.000], [0.500, 0.500, 0.500]]}

=====

Relative energies with respect to the most stable structure, expressed in eV/atom: run w 0.107; run x 0.000.

=====

Run w
{"formula": "BeSnIr3", "functional": "PBE-GGA", "state": "relaxed", "vol_a3_per_atom": 22.53, "spacegroup": "No. 221", "total_magnetization_mub_per_cell": 0.0, "cell": [[4.830, 0.000, 0.000], [0.000, 4.830, 0.000], [0.000, 0.000, 4.830]], "species": ["Ir", "Ir", "Ir", "Be", "Sn"], "frac_coords": [[0.000, 0.000, 0.500], [0.500, 0.000, 0.000], [0.000, 0.500, 0.000], [0.500, 0.500, 0.500], [0.000, 0.000, 0.000]]}

=====

Run x
{"formula": "BeSnIr3", "functional": "PBE-GGA", "state": "relaxed", "vol_a3_per_atom": 14.96, "spacegroup": "No. 221", "total_magnetization_mub_per_cell": 0.0, "cell": [[4.213, 0.000, 0.000], [0.000, 4.213, 0.000], [0.000, 0.000, 4.213]], "species": ["Sn", "Ir", "Ir", "Ir", "Be"], "frac_coords": [[0.500, 0.500, 0.500], [0.000, 0.500, 0.000], [0.000, 0.000, 0.500], [0.500, 0.000, 0.000], [0.000, 0.000, 0.000]]}

=====

Relative energies with respect to the most stable structure, expressed in eV/atom: run w 1.956; run x 0.000.

=====

Run w
{"formula": "SrBeIr", "functional": "PBE-GGA", "state": "relaxed", "vol_a3_per_atom": 22.30, "spacegroup": "No. 216", "total_magnetization_mub_per_cell": 0.0, "cell": [[-1.350, 3.020, -3.133], [1.668, -0.211, -4.235], [-2.677, -1.328, -3.439]], "species": ["Ir", "Sr", "Be"], "frac_coords": [[0.750, 0.750, 0.750], [0.000, 0.000, 0.000], [0.500, 0.500, 0.500]]}

=====

Run x
{"formula": "SrBeIr", "functional": "PBE-GGA", "state": "relaxed", "vol_a3_per_atom": 20.35, "spacegroup": "No. 187", "total_magnetization_mub_per_cell": 0.0, "cell": [[3.922, 0.000, 0.000], [-1.961, 3.396, 0.000], [0.000, 0.000, 4.584]], "species": ["Ir", "Be", "Sr"], "frac_coords": [[0.667, 0.333, 0.167], [0.000, 0.000, 0.167], [0.333, 0.667, 0.667]]}

=====

Relative energies with respect to the most stable structure, expressed in eV/atom: run w 0.766; run x 0.000.

=====

Run w
{"formula": "SrBeIr", "functional": "PBE-GGA", "state": "relaxed", "vol_a3_per_atom": 18.78, "spacegroup": "No. 63", "total_magnetization_mub_per_cell": 0.0, "cell": [[-2.195, 0.672, 2.275], [0.580, -6.012, 0.040], [4.364, 0.449, 4.079]], "species": ["Ir", "Sr", "Be", "Be", "Ir", "Sr"], "frac_coords": [[0.431, 0.863, 0.250], [0.697, 0.393, 0.250], [0.000, 0.000, 0.500], [0.000, 0.000, 0.000], [0.569, 0.137, 0.750], [0.303, 0.607, 0.750]]}

=====

Run x
{"formula": "SrBeIr", "functional": "PBE-GGA", "state": "relaxed", "vol_a3_per_atom": 18.47, "spacegroup": "No. 107", "total_magnetization_mub_per_cell": 0.0, "cell": [[5.888, -0.001, 0.001], [5.024, 3.072, 0.002], [0.865, 0.243, 3.063]], "species": ["Be", "Ir", "Sr"], "frac_coords": [[0.941, 0.941, 0.058], [0.388, 0.388, 0.612], [0.671, 0.671, 0.329]]}

=====

Run y
{"formula": "SrBeIr", "functional": "PBE-GGA", "state": "relaxed", "vol_a3_per_atom": 20.10, "spacegroup": "No. 216", "total_magnetization_mub_per_cell": 0.0, "cell": [[4.402, 0.000, 0.000], [2.201, 3.812, 0.000], [2.201, 1.271, 3.594]], "species": ["Be", "Sr", "Ir"], "frac_coords": [[0.750, 0.750, 0.750], [0.500, 0.500, 0.500], [0.000, 0.000, 0.000]]}

=====

Relative energies with respect to the most stable structure, expressed in eV/atom: run w 0.000; run x 0.048; run y 0.563.

=====

Run w
{"formula": "SrBe2Ir2", "functional": "PBE-GGA", "state": "relaxed", "vol_a3_per_atom": 16.30, "spacegroup": "No. 139", "total_magnetization_mub_per_cell": 0.0, "cell": [[-2.457, 3.282, 0.324], [-1.701, -0.915, -3.631], [-5.390, -1.515, 0.578]], "species": ["Ir", "Sr", "Ir", "Be", "Be"], "frac_coords": [[0.369, 0.369, 0.263], [0.000, 0.000, 0.000], [0.631, 0.631, 0.737], [0.250, 0.750, 0.500], [0.750, 0.250, 0.500]]}

=====

Run x
{"formula": "SrBe2Ir2", "functional": "PBE-GGA", "state": "relaxed", "vol_a3_per_atom": 14.92, "spacegroup": "No. 127", "total_magnetization_mub_per_cell": 0.0, "cell": [[-0.459, 6.621, -2.677], [2.337, -2.396, -6.325], [-2.747, -0.521, -0.818]], "species": ["Ir", "Be", "Ir", "Ir", "Sr", "Be", "Sr", "Be", "Be", "Ir"], "frac_coords": [[0.647, 0.853, 0.500], [0.383, 0.883, 0.000], [0.147, 0.647, 0.500], [0.353, 0.147, 0.500], [0.000, 0.000, 0.000], [0.617, 0.117, 0.000], [0.500, 0.500, 0.000], [0.117, 0.383, 0.000], [0.883, 0.617, 0.000], [0.853, 0.353, 0.500]]}

=====

Relative energies with respect to the most stable structure, expressed in eV/atom: run w 0.000; run x 0.118.

=====

Run w
{"formula": "TaBe2Ir2", "functional": "PBE-GGA", "state": "relaxed", "vol_a3_per_atom": 12.94, "spacegroup": "No. 139", "total_magnetization_mub_per_cell": 0.0, "cell": [[2.983, 0.000, 0.000], [0.000, 2.983, 0.000], [1.492, 1.492, 7.268]], "species": ["Ir", "Be", "Ir", "Ta", "Be"], "frac_coords": [[0.376, 0.376, 0.248], [0.750, 0.250, 0.500], [0.624, 0.624, 0.752], [0.000, 0.000, 0.000], [0.250, 0.750, 0.500]]}

=====

Run x
{"formula": "TaBe2Ir2", "functional": "PBE-GGA", "state": "relaxed", "vol_a3_per_atom": 13.20, "spacegroup": "No. 127", "total_magnetization_mub_per_cell": 0.0, "cell": [[-1.812, -6.260, 2.040], [6.092, -0.792, 2.981], [-1.035, 1.082, 2.402]], "species": ["Ir", "Be", "Ir", "Ta", "Be", "Ir", "Be", "Ir", "Ta", "Be"], "frac_coords": [[0.356, 0.856, 0.000], [0.651, 0.849, 0.500], [0.644, 0.144, 0.000], [0.000, 0.000, 0.000], [0.349, 0.151, 0.500], [0.144, 0.356, 0.000], [0.849, 0.349, 0.500], [0.856, 0.644, 0.000], [0.500, 0.500, 0.000], [0.151, 0.651, 0.500]]}

=====

Relative energies with respect to the most stable structure, expressed in eV/atom: run w 0.000; run x 0.036.

=====

Run w
{"formula": "Tb2BeIr", "functional": "PBE-GGA", "state": "relaxed", "vol_a3_per_atom": 21.42, "spacegroup": "No. 11", "total_magnetization_mub_per_cell": 0.0, "cell": [[3.995, 0.000, 0.000], [0.000, 5.217, -2.091], [0.000, 0.000, 8.225]], "species": ["Be", "Ir", "Ir", "Tb", "Tb", "Tb", "Tb", "Be"], "frac_coords": [[0.750, 0.609, 0.276], [0.750, 0.621, 0.777], [0.250, 0.379, 0.223], [0.750, 0.218, 0.427], [0.250, 0.787, 0.070], [0.750, 0.213, 0.930], [0.250, 0.782, 0.573], [0.250, 0.391, 0.724]]}

=====

Run x
{"formula": "Tb2BeIr", "functional": "PBE-GGA", "state": "relaxed", "vol_a3_per_atom": 23.52, "spacegroup": "No. 160", "total_magnetization_mub_per_cell": 0.0, "cell": [[-2.540, -0.940, -2.933], [-3.081, -2.431, 0.731], [-5.733, 4.258, 0.883]], "species": ["Tb", "Be", "Tb", "Ir"], "frac_coords": [[0.891, 0.654, 0.564], [0.136, 0.899, 0.830], [0.714, 0.477, 0.095], [0.469, 0.233, 0.829]]}

=====

Relative energies with respect to the most stable structure, expressed in eV/atom: run w 0.000; run x 0.012.